The following is a DFT calculation (GGA-PBE) of an optimized crystal structure of ScCo2Hg.

Cell lengths 5.072, 5.072, 2.887 Å; angles 102.58, 102.58, 112.22 degrees
Fractional coordinates of all 4 atoms:
Sc  0.000  0.000  0.000
Co  0.000  0.500  0.500
Co  0.500  0.000  0.500
Hg  0.500  0.500  0.000

Summary:
E_tot (eV per formula unit): -19.9
Total moment (μB per formula unit): 1.846
DOS at the Fermi energy (states/eV/f.u.): 5.48
Energy of formation (eV per atom): 0.24

The following is a DFT calculation (GGA-PBE) of an optimized crystal structure of Lu2NiAu.

Cell lengths 3.403, 3.403, 6.931 Å; angles 90.00, 90.00, 90.00 degrees
Fractional coordinates of all 4 atoms:
Lu  0.000  0.000  0.234
Lu  0.000  0.000  0.766
Ni  0.500  0.500  0.000
Au  0.500  0.500  0.500

Summary:
Excess energy over the best structure of this formula in the dataset (eV/f.u.): 0.00
E_tot (eV per formula unit): -20.8
Total moment (μB per formula unit): 0.000
DOS at the Fermi energy (states/eV/f.u.): 3.45
Energy of formation (eV per atom): -0.68

> Which formula does entry 2 have?

Lu2NiAu